A plane-wave DFT calculation with GGA+U was carried out for a relaxed structure of VCdRh2F. Values from VASP.

Geometry as Quantum ESPRESSO input:
```
&SYSTEM
  ibrav = 0, nat = 5, ntyp = 4
/
ATOMIC_SPECIES
V 50.94 V.upf
Rh 102.91 Rh.upf
Cd 112.41 Cd.upf
F 19.00 F.upf
CELL_PARAMETERS angstrom
-3.857 2.610 -0.778
-2.068 -2.468 1.970
0.853 2.439 3.951
ATOMIC_POSITIONS angstrom
V 0.000 0.000 0.000
Rh -1.928 1.305 -0.389
Rh 0.427 1.219 1.976
Cd -2.536 1.290 2.572
F -1.034 -1.234 0.985
```

Total energy   -24.66 eV/cell
SG   P4/mmm, No. 123